# 1
Material: AgPAu2
Method: DFT, PBE
State: optimized geometry

```
AgPAu2
1.0
2.9393 0.0000 0.0000
0.0000 4.2405 0.0000
0.0000 0.0000 5.7553
Ag P Au
1 1 2
Direct
0.0000 0.0000 0.0000
0.5000 0.0000 0.5000
0.5000 0.5000 0.2486
0.5000 0.5000 0.7514
```

Computed properties:
D(E_F): 1.85 states/eV/cell
Formation energy: 0.165 eV per atom
Space group: Pmmm, No. 47
ρ: 12.33 Mg/m³

---

# 2
Material: Ag2PAu
Method: DFT, PBE
State: optimized geometry

```
Ag2PAu
1.0
4.9328 -1.4716 0.0000
4.9328 1.4716 0.0000
-1.4165 0.0000 4.7936
Ag P Au
2 1 1
Direct
0.2351 0.2351 0.2393
0.7649 0.7649 0.7607
0.5000 0.5000 0.0000
0.0000 0.0000 0.5000
```

Computed properties:
D(E_F): 0.84 states/eV/cell
Formation energy: 0.224 eV per atom
Space group: C2/m, No. 12
ρ: 10.59 Mg/m³

---

# 3
Material: AgPAu2
Method: DFT, PBE
State: optimized geometry

```
AgPAu2
1.0
3.0105 0.0000 0.0000
0.0000 3.8365 0.0000
0.0000 0.0000 6.0655
Ag P Au
1 1 2
Direct
0.0000 0.0000 0.0000
0.5000 0.5000 0.7344
0.0000 0.0000 0.5252
0.5000 0.5000 0.2545
```

Computed properties:
D(E_F): 1.44 states/eV/cell
Formation energy: 0.247 eV per atom
Space group: Pmm2, No. 25
ρ: 12.63 Mg/m³

---

# 4
Material: Ag2P2Au
Method: DFT, PBE
State: optimized geometry

```
Ag2P2Au
1.0
8.0414 0.0000 0.0000
0.0000 8.0414 0.0000
0.0000 0.0000 2.8277
Ag P Au
4 4 2
Direct
0.1879 0.3121 0.0000
0.3121 0.8121 0.0000
0.6879 0.1879 0.0000
0.8121 0.6879 0.0000
0.1010 0.6010 0.5000
0.3990 0.1010 0.5000
0.6010 0.8990 0.5000
0.8990 0.3990 0.5000
0.0000 0.0000 0.0000
0.5000 0.5000 0.0000
```

Computed properties:
D(E_F): 2.90 states/eV/cell
Formation energy: 0.432 eV per atom
Space group: P4/mbm, No. 127
ρ: 8.62 Mg/m³
Excess energy over the best structure of this formula in the dataset: 29.1 kJ/mol of atoms

---

# 5
Material: Ag2PAu2
Method: DFT, PBE
State: optimized geometry

```
Ag2PAu2
1.0
6.6631 0.0000 0.0000
0.0000 6.6631 0.0000
0.0000 0.0000 4.2016
Ag P Au
4 2 4
Direct
0.1533 0.3467 0.0000
0.3467 0.8467 0.0000
0.6533 0.1533 0.0000
0.8467 0.6533 0.0000
0.0000 0.0000 0.0000
0.5000 0.5000 0.0000
0.1512 0.6512 0.5000
0.3488 0.1512 0.5000
0.6512 0.8488 0.5000
0.8488 0.3488 0.5000
```

Computed properties:
D(E_F): 4.52 states/eV/cell
Formation energy: 0.321 eV per atom
Space group: P4/mbm, No. 127
ρ: 11.41 Mg/m³
Excess energy over the best structure of this formula in the dataset: 12.0 kJ/mol of atoms

---

# 6
Material: Ag2PAu
Method: DFT, PBE
State: optimized geometry

```
Ag2PAu
1.0
3.0413 0.0000 0.0000
0.0000 3.7866 0.0000
0.0000 0.0000 6.0268
Ag P Au
2 1 1
Direct
0.0000 0.0000 0.0000
0.5000 0.5000 0.2577
0.5000 0.5000 0.7499
0.0000 0.0000 0.5222
```

Computed properties:
D(E_F): 1.15 states/eV/cell
Formation energy: 0.231 eV per atom
Space group: Pmm2, No. 25
ρ: 10.62 Mg/m³

---

no.,M_tot (Bohr magnetons per cell)
1,0.0
2,0.0
3,0.0
4,0.0
5,0.0
6,0.0